# 1
SmFe2Co2 | GGA-PBE | relaxed

Structure (CIF):
```
data_SmFe2Co2
_chemical_formula_sum 'Sm4 Fe8 Co8'
_symmetry_space_group_name_H-M 'I 4/m m m'
_symmetry_Int_Tables_number 139
_symmetry_space_group_name_Hall '-I 4 2'
_cell_length_a 3.9570
_cell_length_b 3.9570
_cell_length_c 19.6806
_cell_angle_alpha 90.00
_cell_angle_beta 90.00
_cell_angle_gamma 90.00
loop_
_atom_site_label
_atom_site_type_symbol
_atom_site_fract_x
_atom_site_fract_y
_atom_site_fract_z
Sm1 Sm 0.0000 0.0000 0.1271
Fe1 Fe 0.0000 0.0000 0.3138
Fe2 Fe 0.0000 0.5000 0.0000
Co1 Co 0.0000 0.0000 0.4328
Co2 Co 0.0000 0.5000 0.2500
```

## Properties
E, eV/atom: -7.173
Calculated formation energy, meV/atom: -2



# 2
Sm4Fe31Co3 | GGA-PBE | relaxed

Structure (CIF):
```
data_Sm4Fe31Co3
_chemical_formula_sum 'Sm4 Fe31 Co3'
_symmetry_space_group_name_H-M 'P 1'
_symmetry_Int_Tables_number 1
_cell_length_a 6.4209
_cell_length_b 6.4480
_cell_length_c 12.8695
_cell_angle_alpha 82.81
_cell_angle_beta 82.40
_cell_angle_gamma 82.63
loop_
_symmetry_equiv_pos_as_xyz
'x,y,z'
loop_
_atom_site_label
_atom_site_type_symbol
_atom_site_fract_x
_atom_site_fract_y
_atom_site_fract_z
Sm1 Sm 0.0000 0.0000 0.0000
Sm2 Sm 0.0010 0.0008 0.5000
Sm3 Sm 0.6803 0.6821 0.8408
Sm4 Sm 0.6816 0.6837 0.3407
Fe1 Fe 0.0423 0.3413 0.8188
Fe2 Fe 0.0452 0.3442 0.3180
Fe3 Fe 0.0464 0.6360 0.1713
Fe4 Fe 0.0500 0.6315 0.6715
Fe5 Fe 0.1814 0.6836 0.8427
Fe6 Fe 0.1805 0.6862 0.3423
Fe7 Fe 0.2449 0.2438 0.6226
Fe8 Fe 0.2464 0.2451 0.1221
Fe9 Fe 0.3383 0.0507 0.8160
Fe10 Fe 0.3392 0.3421 0.9203
Fe11 Fe 0.3405 0.0545 0.3147
Fe12 Fe 0.3407 0.3438 0.4199
Fe13 Fe 0.3412 0.6315 0.0259
Fe14 Fe 0.3410 0.8401 0.6710
Fe15 Fe 0.3409 0.8409 0.1712
Fe16 Fe 0.3419 0.6303 0.5261
Fe17 Fe 0.4363 0.4368 0.7186
Fe18 Fe 0.4377 0.4377 0.2180
Fe19 Fe 0.4952 0.9995 0.9991
Fe20 Fe 0.4951 0.9994 0.4988
Fe21 Fe 0.6316 0.0505 0.6693
Fe22 Fe 0.6374 0.0456 0.1694
Fe23 Fe 0.6376 0.3404 0.0218
Fe24 Fe 0.6376 0.3411 0.5214
Fe25 Fe 0.6808 0.1845 0.8407
Fe26 Fe 0.6834 0.1830 0.3405
Fe27 Fe 0.6834 0.6823 0.0909
Fe28 Fe 0.6846 0.6838 0.5910
Fe29 Fe 0.8403 0.3419 0.6699
Fe30 Fe 0.8415 0.3415 0.1701
Fe31 Fe 0.9969 0.9994 0.7479
Co1 Co 0.0011 0.0036 0.2486
Co2 Co 0.0011 0.4978 0.0010
Co3 Co 0.0010 0.4985 0.5008
```

## Properties
E, eV/atom: -7.964
Calculated formation energy, meV/atom: -2



# 3
SmFe3Co3 | GGA-PBE | relaxed

Structure (CIF):
```
data_SmFe3Co3
_chemical_formula_sum 'Sm2 Fe6 Co6'
_symmetry_space_group_name_H-M 'P m -3 n'
_symmetry_Int_Tables_number 223
_symmetry_space_group_name_Hall '-P 4n 2 3'
_cell_length_a 6.0662
_cell_length_b 6.0662
_cell_length_c 6.0662
_cell_angle_alpha 90.00
_cell_angle_beta 90.00
_cell_angle_gamma 90.00
loop_
_atom_site_label
_atom_site_type_symbol
_atom_site_fract_x
_atom_site_fract_y
_atom_site_fract_z
Sm1 Sm 0.0000 0.0000 0.0000
Fe1 Fe 0.0000 0.2500 0.5000
Co1 Co 0.0000 0.5000 0.2500
```

## Properties
E, eV/atom: -6.821
Calculated formation energy, meV/atom: 526



Summary of total magnetization in μB per formula unit
6.8; 78.0; 3.8
(order as listed above)